# K2BICl | Alexandria | meta-GGA SCAN | single point on PBEsol structure
data_K2BICl
_chemical_formula_sum 'K2 B1 I1 Cl1'
_cell_length_a 5.928
_cell_length_b 5.928
_cell_length_c 4.603
_cell_angle_alpha 90.00
_cell_angle_beta 90.00
_cell_angle_gamma 90.00
_symmetry_space_group_name_H-M 'P 4/m m m'
_symmetry_Int_Tables_number 123
_symmetry_space_group_name_Hall '-P 4 2'
loop_
_atom_site_label
_atom_site_type_symbol
_atom_site_fract_x
_atom_site_fract_y
_atom_site_fract_z
_atom_site_occupancy
K1 K 0.000 0.500 0.000 1
B1 B 0.000 0.000 0.000 1
I1 I 0.000 0.000 0.500 1
Cl1 Cl 0.500 0.500 0.500 1
# ρ ... 2.6 Mg/m³
# ΔE_f (raw) ... -0.2545 eV/atom
# Uncorrected energy ... -70.08 eV/f.u.